A plane-wave DFT calculation with PBE was carried out for a geometry-optimized BeCu2Se structure.

The space group is I-4m2 (No. 119) and the conventional cell measures 3.675, 3.675 and 7.827 Å, with angles of 90.00, 90.00 and 90.00 degrees. Symmetry generates all atoms from Be at (0.000, 0.000, 0.000), Cu at (0.000, 0.000, 0.500), Cu at (0.000, 0.500, 0.750) and Se at (0.000, 0.500, 0.250).

The energy relative to the lowest polymorph listed for this composition is 173 meV/atom. Its formation energy from raw total energies is 0.249 eV/atom. As for the crystal system: tetragonal. The calculation puts the volume at 106 Å³ per cell.